# Dy2CdGa4Cu3

A geometry-optimized Dy2CdGa4Cu3 structure (PBE-GGA, Alexandria via LeMat-Bulk).

Calculated values
Its crystal system is tetragonal. As for the total moment: 0.0 μB per formula unit. For the energy of formation from the pure elements, the calculation gives -0.3941 eV per atom. Its space group is P-4m2.

Cell lengths 4.131, 4.131, 10.681 Å; angles 90.00, 90.00, 90.00 degrees
Sites, in units of the cell vectors:
Cu (0.000, 0.500, 0.127)
Cu (0.500, 0.000, 0.873)
Cu (0.000, 0.000, 0.500)
Ga (0.500, 0.500, 0.000)
Ga (0.000, 0.000, 0.000)
Ga (0.000, 0.500, 0.347)
Ga (0.500, 0.000, 0.653)
Dy (0.500, 0.000, 0.238)
Dy (0.000, 0.500, 0.762)
Cd (0.500, 0.500, 0.500)